Entry 1:
A relaxed structure of Na2YPb2, computed with PBEsol.

Structure (POSCAR):
```
Na2YPb2
1.0
-0.9296 -4.2311 -0.0046
3.8513 -0.8442 -1.7947
1.5533 1.8681 7.6825
Pb Y Na
2 1 2
direct
0.4026 0.4026 0.8052
0.5974 0.5974 0.1948
0.0000 0.0000 0.0000
0.2500 0.7500 0.5000
0.7500 0.2500 0.5000
```

Output
The value obtained for the calculated formation energy is -0.187 eV/atom.

=====

Entry 2:
A relaxed structure of Na2Zn2Pb, computed with PBEsol.

Structure (POSCAR):
```
Na2Zn2Pb
1.0
-1.1087 3.1548 -0.8793
-2.8825 -1.3807 -1.3190
-2.5663 0.0231 10.1163
Pb Na Zn
1 2 2
direct
0.0000 0.0000 0.0000
0.3839 0.3839 0.7677
0.6161 0.6161 0.2323
0.2500 0.7500 0.5000
0.7500 0.2500 0.5000
```

Output
The value obtained for the calculated formation energy is 0.039 eV/atom.

=====

Entry 3:
A relaxed structure of NaZrPb3, computed with PBEsol.

Structure (POSCAR):
```
NaZrPb3
1.0
-1.8929 1.5846 4.6143
4.5899 -1.0995 2.2605
1.6540 4.8648 -0.9921
Pb Na Zr
3 1 1
direct
0.0000 0.5000 0.0000
0.0000 0.0000 0.5000
0.5000 0.0000 0.0000
0.0000 0.0000 0.0000
0.5000 0.5000 0.5000
```

Output
The value obtained for the calculated formation energy is 0.836 eV/atom.

=====

Entry 4:
A relaxed structure of NaPd, computed with PBEsol.

Structure (POSCAR):
```
NaPd
1.0
2.8603 0.0037 0.0072
-0.0287 5.1750 0.0935
-1.4127 -2.3732 4.6011
Na Pd
2 2
direct
0.3814 0.0522 0.7687
0.6186 0.9478 0.2313
0.1375 0.4831 0.2708
0.8625 0.5169 0.7292
```

Output
The value obtained for the calculated formation energy is 0.003 eV/atom.